Entry 1:
Entry from the Alexandria database: TaBeI2O after structural relaxation (PBEsol).

Structure (CIF):
```
data_TaBeI2O
_cell_length_a 5.5528
_cell_length_b 5.5528
_cell_length_c 3.8477
_cell_angle_alpha 90.00
_cell_angle_beta 90.00
_cell_angle_gamma 90.00
_symmetry_space_group_name_H-M 'P 4/m m m'
_symmetry_Int_Tables_number 123
_symmetry_space_group_name_Hall '-P 4 2'
loop_
_atom_site_label
_atom_site_fract_x
_atom_site_fract_y
_atom_site_fract_z
_atom_site_occupancy
Ta1 0.0000 0.0000 0.0000 1
Be1 0.5000 0.5000 0.5000 1
I1 0.0000 0.5000 0.0000 1
O1 0.0000 0.0000 0.5000 1
```

VASP energy: -5.208 eV/atom
formation energy (no corrections): -141 meV/atom

Entry 2:
Entry from the Alexandria database: NaZrNiAs2 after structural relaxation (PBEsol).

Structure (CIF):
```
data_NaZrNiAs2
_cell_length_a 5.1330
_cell_length_b 5.1330
_cell_length_c 4.7280
_cell_angle_alpha 90.00
_cell_angle_beta 90.00
_cell_angle_gamma 90.00
_symmetry_space_group_name_H-M 'P 4/m m m'
_symmetry_Int_Tables_number 123
_symmetry_space_group_name_Hall '-P 4 2'
loop_
_atom_site_label
_atom_site_fract_x
_atom_site_fract_y
_atom_site_fract_z
_atom_site_occupancy
Na1 0.0000 0.0000 0.0000 1
Zr1 0.5000 0.5000 0.5000 1
Ni1 0.5000 0.5000 0.0000 1
As1 0.0000 0.5000 0.5000 1
```

calculated formation energy: 0.31 eV/atom
VASP energy: -5.062 eV/atom

Entry 3:
Entry from the Alexandria database: Hf3MnH after structural relaxation (PBEsol).

Structure (CIF):
```
data_Hf3MnH
_cell_length_a 4.2962
_cell_length_b 4.2962
_cell_length_c 4.2962
_cell_angle_alpha 90.00
_cell_angle_beta 90.00
_cell_angle_gamma 90.00
_symmetry_space_group_name_H-M 'P m -3 m'
_symmetry_Int_Tables_number 221
_symmetry_space_group_name_Hall '-P 4 2 3'
loop_
_atom_site_label
_atom_site_fract_x
_atom_site_fract_y
_atom_site_fract_z
_atom_site_occupancy
Hf1 0.0000 0.0000 0.5000 1
Mn1 0.5000 0.5000 0.5000 1
H1 0.0000 0.0000 0.0000 1
```

ΔE to the lowest computed polymorph: 0.000 eV/atom
VASP energy: -8.873 eV/atom